No. 1
Density functional theory data (PBE with a Hubbard U) for an optimized crystal structure of MnGa2F8.

Computed properties:
E	-5.134	eV per atom

CIF file:
```
data_MnGa2F8
_chemical_formula_sum 'Mn1 Ga2 F8'
_space_group_name_H-M_alt 'P -1'
_space_group_IT_number 2
_space_group_name_Hall '-P 1'
_cell_length_a 3.9630
_cell_length_b 6.4612
_cell_length_c 6.4624
_cell_angle_alpha 60.08
_cell_angle_beta 89.98
_cell_angle_gamma 89.99
loop_
_atom_site_label
_atom_site_type_symbol
_atom_site_fract_x
_atom_site_fract_y
_atom_site_fract_z
Mn1 Mn 0.0000 0.0000 0.0000
Ga1 Ga 0.2466 0.6666 0.6667
F1 F 0.2498 0.3420 0.8300
F2 F 0.2498 0.8280 0.3422
F3 F 0.2498 0.8302 0.8283
F4 F 0.2535 0.3333 0.3332
```

=====

No. 2
Density functional theory data (PBE with a Hubbard U) for an optimized crystal structure of MnGa3F.

Computed properties:
E	-3.566	eV per atom

CIF file:
```
data_MnGa3F
_chemical_formula_sum 'Mn1 Ga3 F1'
_space_group_name_H-M_alt 'P m -3 m'
_space_group_IT_number 221
_space_group_name_Hall '-P 4 2 3'
_cell_length_a 4.8971
_cell_length_b 4.8971
_cell_length_c 4.8971
_cell_angle_alpha 90.00
_cell_angle_beta 90.00
_cell_angle_gamma 90.00
loop_
_atom_site_label
_atom_site_type_symbol
_atom_site_fract_x
_atom_site_fract_y
_atom_site_fract_z
Mn1 Mn 0.0000 0.0000 0.0000
Ga1 Ga 0.0000 0.0000 0.5000
F1 F 0.5000 0.5000 0.5000
```

=====

No. 3
Density functional theory data (PBE with a Hubbard U) for an optimized crystal structure of Mn2GaF.

Computed properties:
E	-5.232	eV per atom

CIF file:
```
data_Mn2GaF
_chemical_formula_sum 'Mn8 Ga4 F4'
_space_group_name_H-M_alt 'F m -3 m'
_space_group_IT_number 225
_space_group_name_Hall '-F 4 2 3'
_cell_length_a 6.4870
_cell_length_b 6.4870
_cell_length_c 6.4870
_cell_angle_alpha 90.00
_cell_angle_beta 90.00
_cell_angle_gamma 90.00
loop_
_atom_site_label
_atom_site_type_symbol
_atom_site_fract_x
_atom_site_fract_y
_atom_site_fract_z
Mn1 Mn 0.2500 0.2500 0.2500
Ga1 Ga 0.0000 0.0000 0.0000
F1 F 0.0000 0.0000 0.5000
```

=====

No. 4
Density functional theory data (PBE with a Hubbard U) for an optimized crystal structure of MnGa2F.

Computed properties:
E	-4.223	eV per atom

CIF file:
```
data_MnGa2F
_chemical_formula_sum 'Mn4 Ga8 F4'
_space_group_name_H-M_alt 'I -4 2 d'
_space_group_IT_number 122
_space_group_name_Hall 'I -4 2bw'
_cell_length_a 7.5834
_cell_length_b 7.5834
_cell_length_c 5.0470
_cell_angle_alpha 90.00
_cell_angle_beta 90.00
_cell_angle_gamma 90.00
loop_
_atom_site_label
_atom_site_type_symbol
_atom_site_fract_x
_atom_site_fract_y
_atom_site_fract_z
Mn1 Mn 0.0000 0.0000 0.0000
Ga1 Ga 0.1934 0.2500 0.6250
F1 F 0.0000 0.0000 0.5000
```

=====

No. 5
Density functional theory data (PBE with a Hubbard U) for an optimized crystal structure of MnGaF3.

Computed properties:
E	-4.737	eV per atom

CIF file:
```
data_MnGaF3
_chemical_formula_sum 'Mn1 Ga1 F3'
_space_group_name_H-M_alt 'P m -3 m'
_space_group_IT_number 221
_space_group_name_Hall '-P 4 2 3'
_cell_length_a 4.4752
_cell_length_b 4.4752
_cell_length_c 4.4752
_cell_angle_alpha 90.00
_cell_angle_beta 90.00
_cell_angle_gamma 90.00
loop_
_atom_site_label
_atom_site_type_symbol
_atom_site_fract_x
_atom_site_fract_y
_atom_site_fract_z
Mn1 Mn 0.0000 0.0000 0.0000
Ga1 Ga 0.5000 0.5000 0.5000
F1 F 0.0000 0.5000 0.5000
```

=====

No. 6
Density functional theory data (PBE with a Hubbard U) for an optimized crystal structure of Mn2GaMoF.

Computed properties:
E	-4.486	eV per atom

CIF file:
```
data_Mn2GaMoF
_chemical_formula_sum 'Mn2 Ga1 Mo1 F1'
_space_group_name_H-M_alt 'P 4/m m m'
_space_group_IT_number 123
_space_group_name_Hall '-P 4 2'
_cell_length_a 5.7762
_cell_length_b 5.7762
_cell_length_c 5.8060
_cell_angle_alpha 90.00
_cell_angle_beta 90.00
_cell_angle_gamma 90.00
loop_
_atom_site_label
_atom_site_type_symbol
_atom_site_fract_x
_atom_site_fract_y
_atom_site_fract_z
Mn1 Mn 0.0000 0.5000 0.0000
Ga1 Ga 0.0000 0.0000 0.5000
Mo1 Mo 0.0000 0.0000 0.0000
F1 F 0.5000 0.5000 0.5000
```

=====

No. 7
Density functional theory data (PBE with a Hubbard U) for an optimized crystal structure of Na2MnGaF8.

Computed properties:
E	-4.991	eV per atom

CIF file:
```
data_Na2MnGaF8
_chemical_formula_sum 'Na2 Mn1 Ga1 F8'
_space_group_name_H-M_alt 'P -1'
_space_group_IT_number 2
_space_group_name_Hall '-P 1'
_cell_length_a 5.0087
_cell_length_b 5.0220
_cell_length_c 6.3583
_cell_angle_alpha 89.85
_cell_angle_beta 89.85
_cell_angle_gamma 86.99
loop_
_atom_site_label
_atom_site_type_symbol
_atom_site_fract_x
_atom_site_fract_y
_atom_site_fract_z
Na1 Na 0.0001 0.0000 0.2450
Mn1 Mn 0.5000 0.5000 0.5000
Ga1 Ga 0.5000 0.5000 0.0000
F1 F 0.2328 0.7677 0.0000
F2 F 0.2335 0.7669 0.5000
F3 F 0.3241 0.3252 0.2409
F4 F 0.3254 0.3265 0.7563
```

=====

No. 8
Density functional theory data (PBE with a Hubbard U) for an optimized crystal structure of Na2MnGaF.

Computed properties:
E	-2.907	eV per atom

CIF file:
```
data_Na2MnGaF
_chemical_formula_sum 'Na2 Mn1 Ga1 F1'
_space_group_name_H-M_alt 'P 4/m m m'
_space_group_IT_number 123
_space_group_name_Hall '-P 4 2'
_cell_length_a 6.0518
_cell_length_b 6.0518
_cell_length_c 4.9575
_cell_angle_alpha 90.00
_cell_angle_beta 90.00
_cell_angle_gamma 90.00
loop_
_atom_site_label
_atom_site_type_symbol
_atom_site_fract_x
_atom_site_fract_y
_atom_site_fract_z
Na1 Na 0.0000 0.5000 0.0000
Mn1 Mn 0.0000 0.0000 0.0000
Ga1 Ga 0.0000 0.0000 0.5000
F1 F 0.5000 0.5000 0.5000
```

=====

No. 9
Density functional theory data (PBE with a Hubbard U) for an optimized crystal structure of Mn2GaPF.

Computed properties:
E	-4.904	eV per atom

CIF file:
```
data_Mn2GaPF
_chemical_formula_sum 'Mn2 Ga1 P1 F1'
_space_group_name_H-M_alt 'P 4/m m m'
_space_group_IT_number 123
_space_group_name_Hall '-P 4 2'
_cell_length_a 5.2667
_cell_length_b 5.2667
_cell_length_c 4.0674
_cell_angle_alpha 90.00
_cell_angle_beta 90.00
_cell_angle_gamma 90.00
loop_
_atom_site_label
_atom_site_type_symbol
_atom_site_fract_x
_atom_site_fract_y
_atom_site_fract_z
Mn1 Mn 0.0000 0.5000 0.0000
Ga1 Ga 0.0000 0.0000 0.0000
P1 P 0.5000 0.5000 0.5000
F1 F 0.0000 0.0000 0.5000
```

=====

No. 10
Density functional theory data (PBE with a Hubbard U) for an optimized crystal structure of MnGaPdF6.

Computed properties:
E	-5.091	eV per atom

CIF file:
```
data_MnGaPdF6
_chemical_formula_sum 'Mn2 Ga2 Pd2 F12'
_space_group_name_H-M_alt 'P -3 1 c'
_space_group_IT_number 163
_space_group_name_Hall '-P 3 2c'
_cell_length_a 5.4994
_cell_length_b 5.4994
_cell_length_c 9.8937
_cell_angle_alpha 90.00
_cell_angle_beta 90.00
_cell_angle_gamma 120.00
loop_
_atom_site_label
_atom_site_type_symbol
_atom_site_fract_x
_atom_site_fract_y
_atom_site_fract_z
Mn1 Mn 0.3333 0.6667 0.2500
Ga1 Ga 0.3333 0.6667 0.7500
Pd1 Pd 0.0000 0.0000 0.0000
F1 F 0.0300 0.3840 0.6423
```

=====

No. 11
Density functional theory data (PBE with a Hubbard U) for an optimized crystal structure of RbMn2GaF8.

Computed properties:
E	-5.478	eV per atom

CIF file:
```
data_RbMn2GaF8
_chemical_formula_sum 'Rb1 Mn2 Ga1 F8'
_space_group_name_H-M_alt 'P -1'
_space_group_IT_number 2
_space_group_name_Hall '-P 1'
_cell_length_a 5.1577
_cell_length_b 5.1804
_cell_length_c 7.4023
_cell_angle_alpha 81.33
_cell_angle_beta 81.40
_cell_angle_gamma 79.56
loop_
_atom_site_label
_atom_site_type_symbol
_atom_site_fract_x
_atom_site_fract_y
_atom_site_fract_z
Rb1 Rb 0.0000 0.0000 0.0000
Mn1 Mn 0.4490 0.4495 0.2352
Ga1 Ga 0.0000 0.0000 0.5000
F1 F 0.1972 0.7785 0.6867
F2 F 0.2211 0.8014 0.3142
F3 F 0.2449 0.2425 0.4596
F4 F 0.3414 0.3417 0.9971
```

=====

No. 12
Density functional theory data (PBE with a Hubbard U) for an optimized crystal structure of RbMnGa2F8.

Computed properties:
E	-4.923	eV per atom

CIF file:
```
data_RbMnGa2F8
_chemical_formula_sum 'Rb1 Mn1 Ga2 F8'
_space_group_name_H-M_alt 'P -3 m 1'
_space_group_IT_number 164
_space_group_name_Hall '-P 3 2"'
_cell_length_a 6.0155
_cell_length_b 6.0155
_cell_length_c 7.7694
_cell_angle_alpha 90.00
_cell_angle_beta 90.00
_cell_angle_gamma 120.00
loop_
_atom_site_label
_atom_site_type_symbol
_atom_site_fract_x
_atom_site_fract_y
_atom_site_fract_z
Rb1 Rb 0.0000 0.0000 0.0000
Mn1 Mn 0.0000 0.0000 0.5000
Ga1 Ga 0.3333 0.6667 0.2572
F1 F 0.1608 0.3216 0.3269
F2 F 0.3333 0.6667 0.0230
```